# LaMn2Se

A geometry-optimized LaMn2Se structure (PBE, Alexandria via LeMat-Bulk).

magnetization = 0.58 μB per formula unit
SG = Imm2, No. 44
formation energy from raw total energies = -78 meV per atom
energy = -6.77 eV per atom

Cell lengths 5.090, 5.090, 5.090 Å; angles 132.17, 110.60, 88.67 degrees
Each line ends with the local moment (μB).
Sites, in units of the cell vectors:
Mn1 0.934 0.934 0.000  -3.48
Mn2 0.748 0.248 0.500  3.08
Se1 0.561 0.561 0.000  -0.02
La1 0.257 0.757 0.500  -0.06